Compound: CaB4Mo3O12
Source: Alexandria
Functional: PBE with a Hubbard U
Structure: optimized geometry

abc: 9.9046 9.9046 8.0560
angles: 90.00 90.00 120.00
Space group R32 (No. 155, hexagonal axes)
One atom of each set of equivalent atoms:
Ca: 0.0000 0.0000 0.0000 x3
B: 0.0000 0.0000 0.5000 x3
B: 0.0000 0.4489 0.5000 x9
Mo: 0.0000 0.5478 0.0000 x9
O: 0.0000 0.5909 0.5000 x9
O: 0.0000 0.8604 0.5000 x9
O: 0.0179 0.2091 0.1826 x18

Properties
VASP energy ... -0.2827 hartree per atom